# 1
! BaZn2TeO2, relaxed, DFT PBE-GGA; values from VASP
&SYSTEM
  ibrav = 0, nat = 12, ntyp = 4
/
ATOMIC_SPECIES
Ba 137.33 Ba.upf
Zn 65.41 Zn.upf
Te 127.60 Te.upf
O 16.00 O.upf
ATOMIC_POSITIONS angstrom
Ba 4.087 0.549 4.870
Ba 1.362 3.572 2.837
Zn 2.733 0.375 1.593
Zn 5.442 0.375 1.593
Zn 0.008 3.747 6.113
Zn 2.717 3.747 6.113
Te 1.362 -0.591 7.280
Te 4.087 4.712 0.427
O 1.362 -0.311 2.805
O 1.362 2.668 5.216
O 4.087 4.432 4.902
O 4.087 1.453 2.491
CELL_PARAMETERS angstrom
5.450 0.000 0.000
0.000 6.449 0.020
0.000 -2.327 7.686
! Crystal system ... monoclinic
! Space-group type ... P2_1/m
! Raw total energy ... -4.32 eV/atom

# 2
! Ba3ZnTe2O8, relaxed, DFT PBE-GGA; values from VASP
&SYSTEM
  ibrav = 0, nat = 14, ntyp = 4
/
ATOMIC_SPECIES
Ba 137.33 Ba.upf
Zn 65.41 Zn.upf
Te 127.60 Te.upf
O 16.00 O.upf
ATOMIC_POSITIONS angstrom
Ba 3.375 0.341 5.114
Ba 1.521 -2.763 3.261
Ba 0.000 0.000 0.000
Zn -0.062 0.410 3.982
Te 3.428 -0.013 1.680
Te 1.468 -2.409 6.695
O 3.337 0.597 7.596
O 1.560 -3.019 0.779
O 4.371 1.559 2.556
O 0.525 -3.981 5.819
O 1.657 0.182 2.656
O 3.239 -2.604 5.720
O 4.209 -1.466 2.865
O 0.688 -0.956 5.510
CELL_PARAMETERS angstrom
-0.320 -5.950 0.608
5.339 2.708 -0.196
-0.123 0.821 7.963
! Crystal system ... trigonal
! Space-group type ... P-3m1
! Raw total energy ... -5.45 eV/atom

# 3
! Ba3Zn2TeO8, relaxed, DFT PBE-GGA; values from VASP
&SYSTEM
  ibrav = 0, nat = 14, ntyp = 4
/
ATOMIC_SPECIES
Ba 137.33 Ba.upf
Zn 65.41 Zn.upf
Te 127.60 Te.upf
O 16.00 O.upf
ATOMIC_POSITIONS angstrom
Ba 0.000 3.382 5.066
Ba 2.929 1.691 2.572
Ba 0.000 0.000 0.000
Zn 0.000 3.382 1.659
Zn 2.929 1.691 5.978
Te 0.000 0.000 3.819
O 0.000 3.382 7.476
O 2.929 1.691 0.161
O -1.558 4.282 2.647
O 4.487 0.792 4.990
O 0.000 1.583 2.647
O 2.929 3.490 4.990
O 1.558 4.282 2.647
O 1.371 0.792 4.990
CELL_PARAMETERS angstrom
5.858 0.000 0.000
-2.929 5.073 0.000
0.000 0.000 7.637
! Crystal system ... trigonal
! Space-group type ... P-3m1
! Raw total energy ... -5.51 eV/atom

# 4
! BaZnTeO5, relaxed, DFT PBE-GGA; values from VASP
&SYSTEM
  ibrav = 0, nat = 16, ntyp = 4
/
ATOMIC_SPECIES
Ba 137.33 Ba.upf
Zn 65.41 Zn.upf
Te 127.60 Te.upf
O 16.00 O.upf
ATOMIC_POSITIONS angstrom
Ba 0.385 3.219 1.717
Ba 2.064 0.090 5.203
Zn 3.210 1.127 1.717
Zn -0.761 2.182 5.203
Te -0.902 -1.218 3.486
Te 0.000 0.000 0.000
O -1.772 4.816 1.717
O 4.222 -1.507 5.203
O 4.811 1.357 0.573
O -2.362 1.952 6.347
O 3.458 -0.471 2.861
O -1.008 3.780 4.059
O 2.761 2.755 2.853
O -0.312 0.553 4.067
O 1.522 1.081 0.581
O 0.927 2.227 6.339
CELL_PARAMETERS angstrom
6.046 -0.029 -0.026
-1.793 5.774 -0.026
-1.804 -2.436 6.972
! Crystal system ... monoclinic
! Space-group type ... C2/c
! Raw total energy ... -5.55 eV/atom

# 5
! BaZrTeO5, relaxed, DFT PBE-GGA; values from VASP
&SYSTEM
  ibrav = 0, nat = 16, ntyp = 4
/
ATOMIC_SPECIES
Ba 137.33 Ba.upf
Zr 91.22 Zr.upf
Te 127.60 Te.upf
O 16.00 O.upf
ATOMIC_POSITIONS angstrom
Ba 0.389 3.448 1.666
Ba 2.069 -0.128 5.479
Zr -1.116 -1.507 3.813
Zr 0.000 0.000 0.000
Te 3.452 1.181 1.666
Te -0.994 2.139 5.479
O -1.903 5.145 1.666
O 4.361 -1.825 5.479
O 4.880 1.917 0.224
O -2.422 1.403 6.920
O 3.164 -0.401 3.107
O -0.706 3.720 4.038
O 3.000 2.845 2.563
O -0.542 0.475 4.581
O 1.728 1.127 0.768
O 0.730 2.193 6.377
CELL_PARAMETERS angstrom
6.201 0.312 -0.241
-1.512 6.022 -0.241
-2.231 -3.014 7.627
! Crystal system ... monoclinic
! Space-group type ... C2/c
! Raw total energy ... -7.10 eV/atom

# 6
! BaZrTeO2, relaxed, DFT PBE-GGA; values from VASP
&SYSTEM
  ibrav = 0, nat = 5, ntyp = 4
/
ATOMIC_SPECIES
Ba 137.33 Ba.upf
Zr 91.22 Zr.upf
Te 127.60 Te.upf
O 16.00 O.upf
ATOMIC_POSITIONS angstrom
Ba 2.147 -4.951 -1.416
Zr 0.025 -0.124 0.033
Te 4.389 -2.384 -0.805
O 3.176 -6.008 0.886
O 0.578 -6.826 -0.193
CELL_PARAMETERS angstrom
-1.368 -1.269 -3.699
3.828 0.368 -1.541
1.342 -6.587 1.762
! Crystal system ... tetragonal
! Space-group type ... P4mm
! Raw total energy ... -7.15 eV/atom

# 7
! Ba2ZrTe2O2, relaxed, DFT PBE-GGA; values from VASP
&SYSTEM
  ibrav = 0, nat = 7, ntyp = 4
/
ATOMIC_SPECIES
Ba 137.33 Ba.upf
Zr 91.22 Zr.upf
Te 127.60 Te.upf
O 16.00 O.upf
ATOMIC_POSITIONS angstrom
Ba 0.000 0.000 6.818
Ba 2.258 2.258 1.998
Zr 0.000 0.000 0.000
Te 0.000 0.000 2.997
Te 2.258 2.258 5.819
O 0.000 2.258 0.000
O 2.258 0.000 0.000
CELL_PARAMETERS angstrom
4.516 0.000 0.000
0.000 4.516 0.000
-2.258 -2.258 8.815
! Crystal system ... tetragonal
! Space-group type ... I4/mmm
! Raw total energy ... -6.26 eV/atom

# 8
! BaZr2TeO8, relaxed, DFT PBE-GGA; values from VASP
&SYSTEM
  ibrav = 0, nat = 12, ntyp = 4
/
ATOMIC_SPECIES
Ba 137.33 Ba.upf
Zr 91.22 Zr.upf
Te 127.60 Te.upf
O 16.00 O.upf
ATOMIC_POSITIONS angstrom
Ba 0.286 0.285 3.637
Zr 2.978 2.951 5.679
Zr 3.332 3.299 2.373
Te 0.000 0.000 0.000
O 1.608 4.265 1.788
O 4.392 4.349 0.958
O 4.281 1.565 1.789
O 4.702 1.985 6.263
O 1.918 1.901 7.093
O 2.029 4.684 6.262
O 4.069 4.031 4.077
O 2.241 2.219 3.974
CELL_PARAMETERS angstrom
5.182 0.502 0.390
0.557 5.177 0.388
0.572 0.571 7.273
! Crystal system ... monoclinic
! Space-group type ... C2/m
! Raw total energy ... -7.54 eV/atom

# 9
! BaZrTe2O8, relaxed, DFT PBE-GGA; values from VASP
&SYSTEM
  ibrav = 0, nat = 12, ntyp = 4
/
ATOMIC_SPECIES
Ba 137.33 Ba.upf
Zr 91.22 Zr.upf
Te 127.60 Te.upf
O 16.00 O.upf
ATOMIC_POSITIONS angstrom
Ba 5.646 5.644 3.544
Zr 0.000 0.000 0.000
Te 2.823 2.345 1.431
Te 8.469 8.943 5.656
O 8.469 5.821 4.261
O 5.646 3.828 1.535
O 2.823 5.467 2.826
O 5.646 7.460 5.553
O 4.160 1.000 1.093
O 7.132 10.289 5.994
O 1.486 1.000 1.093
O 9.806 10.289 5.994
CELL_PARAMETERS angstrom
5.646 0.000 0.000
2.823 7.023 1.314
2.823 4.265 5.773
! Crystal system ... monoclinic
! Space-group type ... C2/m
! Raw total energy ... -6.50 eV/atom

# 10
! Ba6ThO8, relaxed, DFT PBE-GGA; values from VASP
&SYSTEM
  ibrav = 0, nat = 15, ntyp = 3
/
ATOMIC_SPECIES
Ba 137.33 Ba.upf
Th 232.04 Th.upf
O 16.00 O.upf
ATOMIC_POSITIONS angstrom
Ba 2.732 -5.439 3.029
Ba -2.007 -2.765 1.932
Ba -0.833 -6.508 1.783
Ba 1.558 -1.697 3.178
Ba 1.174 -3.743 -0.149
Ba -0.449 -4.462 5.110
Th 0.000 0.000 0.000
O 1.088 -12.307 7.441
O 0.363 -4.102 2.480
O -2.009 -6.662 4.328
O 3.459 -9.747 5.594
O 2.105 -5.429 5.766
O -0.654 -10.980 4.156
O -0.211 -8.619 7.995
O 1.661 -7.789 1.927
CELL_PARAMETERS angstrom
-4.014 -5.530 3.864
2.348 -7.485 -0.299
3.117 -3.393 6.357
! Crystal system ... cubic
! Space-group type ... Fm-3m
! Raw total energy ... -6.66 eV/atom

# 11
! BaThO, relaxed, DFT PBE-GGA; values from VASP
&SYSTEM
  ibrav = 0, nat = 6, ntyp = 3
/
ATOMIC_SPECIES
O 16.00 O.upf
Th 232.04 Th.upf
Ba 137.33 Ba.upf
ATOMIC_POSITIONS angstrom
O 1.839 0.709 0.000
O 0.000 1.769 6.953
Th 1.839 0.705 5.332
Th 1.839 0.705 8.574
Ba 0.000 1.770 12.193
Ba 0.000 1.770 1.714
CELL_PARAMETERS angstrom
3.677 0.000 0.000
-1.839 3.184 0.000
0.000 0.000 13.906
! Crystal system ... hexagonal
! Space-group type ... P-6m2
! Raw total energy ... -5.94 eV/atom

# 12
! Ba3ThTi2O9, relaxed, DFT PBE-GGA; values from VASP
&SYSTEM
  ibrav = 0, nat = 15, ntyp = 4
/
ATOMIC_SPECIES
Ba 137.33 Ba.upf
Th 232.04 Th.upf
Ti 47.87 Ti.upf
O 16.00 O.upf
ATOMIC_POSITIONS angstrom
Ba 0.000 3.418 5.170
Ba 0.000 0.000 0.000
Ba 2.960 1.709 2.246
Th 0.000 0.000 3.708
Ti 0.000 3.418 1.184
Ti 2.960 1.709 6.232
O 4.347 0.908 5.105
O 2.960 3.310 5.105
O 1.573 0.908 5.105
O 1.387 4.218 2.311
O 0.000 1.817 2.311
O -1.387 4.218 2.311
O 2.960 0.000 0.000
O -1.480 2.563 0.000
O 1.480 2.563 0.000
CELL_PARAMETERS angstrom
5.920 0.000 0.000
-2.960 5.127 0.000
0.000 0.000 7.416
! Crystal system ... trigonal
! Space-group type ... P-3m1
! Raw total energy ... -8.03 eV/atom